Computed, not measured: Ce5PmS8 after structural relaxation at the PBE level of DFT.

Cell lengths 7.3890, 7.3890, 7.3890 Å; angles 109.56, 109.29, 109.56 degrees
Element x y z (fractional)
Ce  0.0000  0.3751  0.1242
Ce  0.8758  0.8758  0.2509
Ce  0.7491  0.6249  0.6249
Ce  0.5000  0.0000  0.5000
Ce  0.3751  0.1242  0.0000
Pm  0.2500  0.5000  0.7500
S  0.1254  0.7495  0.0250
S  0.9750  0.1004  0.7245
S  0.7768  0.2499  0.3757
S  0.6243  0.4011  0.8742
S  0.4730  0.5989  0.2232
S  0.6240  0.8996  0.8746
S  0.2755  0.2505  0.3760
S  0.1258  0.7501  0.5270

DOS at the Fermi energy	1.82	states/eV/atom
space-group type	I-4, No. 82
electronic total energy	-6.843	eV per atom

=====

Computed, not measured: Ce5Pm3S8 after structural relaxation at the PBE level of DFT.

Cell lengths 8.0503, 8.0503, 8.0581 Å; angles 60.03, 60.03, 60.00 degrees
Element x y z (fractional)
Ce  0.5000  0.0000  0.0000
Ce  0.5000  0.5000  0.0000
Ce  0.0000  0.0000  0.0000
Ce  0.0000  0.5000  0.0000
Ce  0.5000  0.5000  0.5000
Pm  0.5000  0.0000  0.5000
Pm  0.0000  0.0000  0.5000
Pm  0.0000  0.5000  0.5000
S  0.2500  0.2500  0.7497
S  0.2500  0.7502  0.7497
S  0.7502  0.2500  0.7497
S  0.7499  0.7499  0.7503
S  0.7500  0.7500  0.2503
S  0.7500  0.2498  0.2503
S  0.2498  0.7500  0.2503
S  0.2501  0.2501  0.2497

DOS at the Fermi energy	1.66	states/eV/atom
space-group type	R-3m, No. 166
electronic total energy	-6.854	eV per atom

=====

Computed, not measured: Ce2Pm2S5 after structural relaxation at the PBE level of DFT.

Cell lengths 7.6282, 8.0481, 8.0481 Å; angles 123.47, 90.00, 90.00 degrees
Element x y z (fractional)
Ce  0.0000  0.8013  0.1987
Ce  0.5000  0.3013  0.6987
Ce  0.0000  0.1987  0.8013
Ce  0.5000  0.6987  0.3013
Pm  0.3415  0.1557  0.1557
Pm  0.6585  0.8443  0.8443
Pm  0.8415  0.3443  0.3443
Pm  0.1585  0.6557  0.6557
S  0.0000  0.0000  0.0000
S  0.5000  0.5000  0.5000
S  0.1522  0.2043  0.4789
S  0.8478  0.5211  0.7957
S  0.6522  0.0211  0.2957
S  0.3478  0.7043  0.9789
S  0.8478  0.7957  0.5211
S  0.1522  0.4789  0.2043
S  0.3478  0.9789  0.7043
S  0.6522  0.2957  0.0211

DOS at the Fermi energy	1.68	states/eV/atom
space-group type	Cmce, No. 64
electronic total energy	-6.611	eV per atom

=====

Computed, not measured: CePm4S4 after structural relaxation at the PBE level of DFT.

Cell lengths 5.6908, 6.9472, 6.9465 Å; angles 80.32, 65.82, 65.82 degrees
Element x y z (fractional)
Ce  0.0000  0.0000  0.0000
Pm  0.6022  0.5949  0.2007
Pm  0.3978  0.4051  0.7993
Pm  0.1970  0.2006  0.4054
Pm  0.8030  0.7994  0.5946
S  0.9011  0.3994  0.7984
S  0.0989  0.6006  0.2016
S  0.3004  0.7983  0.6009
S  0.6996  0.2017  0.3991

DOS at the Fermi energy	1.21	states/eV/atom
space-group type	I4/m, No. 87
electronic total energy	-6.368	eV per atom

=====

Computed, not measured: CePmS3 after structural relaxation at the PBE level of DFT.

Cell lengths 7.3969, 6.7989, 10.4986 Å; angles 90.00, 90.00, 90.00 degrees
Element x y z (fractional)
Ce  0.0000  0.5000  0.0000
Ce  0.5000  0.0000  0.5000
Ce  0.5000  0.0000  0.0000
Ce  0.0000  0.5000  0.5000
Pm  0.4095  0.5441  0.7500
Pm  0.0905  0.0441  0.2500
Pm  0.5905  0.4559  0.2500
Pm  0.9095  0.9559  0.7500
S  0.8104  0.1823  0.0888
S  0.6896  0.6823  0.5888
S  0.6896  0.6823  0.9112
S  0.1896  0.8177  0.5888
S  0.1896  0.8177  0.9112
S  0.3104  0.3177  0.4112
S  0.3104  0.3177  0.0888
S  0.8104  0.1823  0.4112
S  0.5723  0.1614  0.7500
S  0.9277  0.6614  0.2500
S  0.4277  0.8386  0.2500
S  0.0723  0.3386  0.7500

DOS at the Fermi energy	1.30	states/eV/atom
space-group type	Pnma, No. 62
electronic total energy	-6.549	eV per atom

=====

Computed, not measured: Ce3PmS after structural relaxation at the PBE level of DFT.

Cell lengths 5.3772, 5.3772, 5.3772 Å; angles 90.00, 90.00, 90.00 degrees
Element x y z (fractional)
S  0.0000  0.0000  0.0000
Ce  0.0000  0.5000  0.0000
Ce  0.0000  0.0000  0.5000
Ce  0.5000  0.0000  0.0000
Pm  0.5000  0.5000  0.5000

DOS at the Fermi energy	3.02	states/eV/atom
space-group type	Pm-3m, No. 221
electronic total energy	-5.897	eV per atom

=====

Computed, not measured: Ce3PmS6 after structural relaxation at the PBE level of DFT.

Cell lengths 8.3078, 8.3078, 8.3078 Å; angles 91.46, 91.46, 91.46 degrees
Element x y z (fractional)
Ce  0.4328  0.9255  0.7503
Ce  0.9255  0.7503  0.4328
Ce  0.2497  0.5672  0.0745
Ce  0.7503  0.4328  0.9255
Ce  0.0745  0.2497  0.5672
Ce  0.5672  0.0745  0.2497
Pm  0.0000  0.0000  0.0000
Pm  0.5000  0.5000  0.5000
S  0.3155  0.9091  0.0762
S  0.0909  0.9238  0.6845
S  0.5952  0.8187  0.4646
S  0.9238  0.6845  0.0909
S  0.4646  0.5952  0.8187
S  0.1813  0.5354  0.4048
S  0.8187  0.4646  0.5952
S  0.5354  0.4048  0.1813
S  0.0762  0.3155  0.9091
S  0.4048  0.1813  0.5354
S  0.9091  0.0762  0.3155
S  0.6845  0.0909  0.9238

DOS at the Fermi energy	2.11	states/eV/atom
space-group type	R-3, No. 148
electronic total energy	-6.696	eV per atom

=====

Computed, not measured: Ce3Pm2S8 after structural relaxation at the PBE level of DFT.

Cell lengths 6.8776, 8.1581, 8.1827 Å; angles 119.90, 107.80, 90.00 degrees
Element x y z (fractional)
Ce  0.5000  0.0000  0.0000
Ce  0.0000  0.2615  0.0000
Ce  0.0000  0.7385  0.0000
Pm  0.3436  0.2677  0.5354
Pm  0.6564  0.7323  0.4646
S  0.8972  0.6103  0.2205
S  0.1028  0.3897  0.7795
S  0.9307  0.1154  0.2309
S  0.0693  0.8846  0.7691
S  0.5865  0.6457  0.7468
S  0.5865  0.1011  0.7468
S  0.4135  0.8989  0.2532
S  0.4135  0.3543  0.2532

DOS at the Fermi energy	1.08	states/eV/atom
space-group type	C2/m, No. 12
electronic total energy	-6.552	eV per atom

=====

Computed, not measured: CePmS2 after structural relaxation at the PBE level of DFT.

Cell lengths 3.9350, 3.9350, 7.4189 Å; angles 74.62, 74.62, 60.00 degrees
Element x y z (fractional)
Ce  0.4952  0.4952  0.5143
Pm  0.6713  0.6713  0.9862
S  0.0817  0.0817  0.7549
S  0.2518  0.2518  0.2447

DOS at the Fermi energy	1.68	states/eV/atom
space-group type	R3m, No. 160
electronic total energy	-6.673	eV per atom

=====

Computed, not measured: Ce3Pm4S8 after structural relaxation at the PBE level of DFT.

Cell lengths 8.0456, 8.0570, 8.0570 Å; angles 90.01, 119.96, 119.96 degrees
Element x y z (fractional)
Ce  0.5000  0.5000  0.0000
Ce  0.5000  0.0000  0.5000
Ce  0.5000  0.5000  0.5000
Pm  0.5000  0.0000  0.0000
Pm  0.0000  0.5000  0.0000
Pm  0.0000  0.0000  0.0000
Pm  0.0000  0.0000  0.5000
S  0.4988  0.2492  0.2492
S  0.0000  0.7506  0.2494
S  0.0009  0.2505  0.2505
S  0.5000  0.7501  0.2499
S  0.5000  0.2499  0.7501
S  0.9991  0.7495  0.7495
S  0.0000  0.2494  0.7506
S  0.5012  0.7508  0.7508

DOS at the Fermi energy	1.26	states/eV/atom
space-group type	C2/m, No. 12
electronic total energy	-6.701	eV per atom

=====

Computed, not measured: CePm4S7 after structural relaxation at the PBE level of DFT.

Cell lengths 3.9276, 6.9534, 11.8833 Å; angles 104.30, 90.00, 106.40 degrees
Element x y z (fractional)
Ce  0.8879  0.7757  0.5791
Pm  0.6998  0.3996  0.8123
Pm  0.3007  0.6014  0.1895
Pm  0.9998  0.9997  0.0004
Pm  0.1122  0.2244  0.4202
S  0.7396  0.4791  0.3503
S  0.2595  0.5190  0.6490
S  0.3411  0.6822  0.9495
S  0.6594  0.3189  0.0507
S  0.0434  0.0869  0.7852
S  0.9566  0.9132  0.2150
S  0.5000  0.0000  0.4988

DOS at the Fermi energy	0.68	states/eV/atom
space-group type	Cm, No. 8
electronic total energy	-6.521	eV per atom

=====

Computed, not measured: CePm5S6 after structural relaxation at the PBE level of DFT.

Cell lengths 6.9830, 6.9812, 6.9841 Å; angles 60.01, 80.36, 70.43 degrees
Element x y z (fractional)
S  0.7510  0.0832  0.3314
S  0.2490  0.5853  0.3314
S  0.2507  0.2485  0.0000
S  0.7493  0.7515  0.0000
S  0.7510  0.4147  0.6686
S  0.2490  0.9168  0.6686
Ce  0.0000  0.0000  0.0000
Pm  0.5000  0.1693  0.6614
Pm  0.0000  0.3326  0.3348
Pm  0.5000  0.5000  0.0000
Pm  0.0000  0.6674  0.6652
Pm  0.5000  0.8307  0.3386

DOS at the Fermi energy	0.76	states/eV/atom
space-group type	C2/m, No. 12
electronic total energy	-6.579	eV per atom

=====

Computed, not measured: Ce6PmS12 after structural relaxation at the PBE level of DFT.

Cell lengths 8.0706, 8.0706, 8.0706 Å; angles 99.88, 99.88, 99.88 degrees
Element x y z (fractional)
Ce  0.1363  0.3032  0.6169
Ce  0.6968  0.3831  0.8637
Ce  0.3831  0.8637  0.6968
Ce  0.8637  0.6968  0.3831
Ce  0.3032  0.6169  0.1363
Ce  0.6169  0.1363  0.3032
Pm  0.0000  0.0000  0.0000
S  0.4319  0.1774  0.5797
S  0.1774  0.5797  0.4319
S  0.5797  0.4319  0.1774
S  0.5681  0.8226  0.4203
S  0.8226  0.4203  0.5681
S  0.4203  0.5681  0.8226
S  0.0605  0.9346  0.6712
S  0.3288  0.9395  0.0654
S  0.0654  0.3288  0.9395
S  0.9395  0.0654  0.3288
S  0.6712  0.0605  0.9346
S  0.9346  0.6712  0.0605

DOS at the Fermi energy	1.53	states/eV/atom
space-group type	R-3, No. 148
electronic total energy	-6.646	eV per atom

=====

Computed, not measured: Ce2Pm3S8 after structural relaxation at the PBE level of DFT.

Cell lengths 4.7283, 9.7782, 8.4000 Å; angles 125.62, 90.00, 90.00 degrees
Element x y z (fractional)
Ce  0.5000  0.2648  0.5296
Ce  0.5000  0.7352  0.4704
Pm  0.5000  0.0000  0.0000
Pm  0.0000  0.2834  0.9998
Pm  0.0000  0.7166  0.0002
S  0.0000  0.6290  0.2581
S  0.0000  0.3710  0.7419
S  0.0000  0.1207  0.2415
S  0.0000  0.8793  0.7585
S  0.5000  0.6334  0.7509
S  0.5000  0.1175  0.7508
S  0.5000  0.8825  0.2492
S  0.5000  0.3666  0.2491

DOS at the Fermi energy	0.74	states/eV/atom
space-group type	Cmmm, No. 65
electronic total energy	-6.394	eV per atom

=====

Computed, not measured: CePmS2 after structural relaxation at the PBE level of DFT.

Cell lengths 3.9784, 3.9784, 13.6160 Å; angles 90.00, 90.00, 120.00 degrees
Element x y z (fractional)
Ce  0.0000  0.0000  0.5000
Ce  0.0000  0.0000  0.0000
Pm  0.6667  0.3333  0.2500
Pm  0.3333  0.6667  0.7500
S  0.3333  0.6667  0.3762
S  0.6667  0.3333  0.8762
S  0.6667  0.3333  0.6238
S  0.3333  0.6667  0.1238

DOS at the Fermi energy	1.34	states/eV/atom
space-group type	P6_3/mmc, No. 194
electronic total energy	-6.747	eV per atom

=====

Computed, not measured: CePm5S7 after structural relaxation at the PBE level of DFT.

Cell lengths 3.9798, 6.9546, 23.7216 Å; angles 90.04, 90.00, 106.63 degrees
Element x y z (fractional)
Ce  0.7909  0.5818  0.2504
Ce  0.2098  0.4195  0.7498
Pm  0.0005  0.0010  0.0001
Pm  0.7240  0.4480  0.9293
Pm  0.2769  0.5538  0.0708
Pm  0.5446  0.0891  0.3531
Pm  0.4558  0.9115  0.6468
Pm  0.0000  0.0001  0.4999
Pm  0.2764  0.5527  0.4292
Pm  0.7239  0.4478  0.5707
Pm  0.4557  0.9114  0.8531
Pm  0.5452  0.0903  0.1469
S  0.4424  0.8849  0.2499
S  0.5581  0.1162  0.7500
S  0.6354  0.2707  0.0386
S  0.3656  0.7312  0.9615
S  0.3653  0.7307  0.5385
S  0.6349  0.2698  0.4614
S  0.1865  0.3729  0.1798
S  0.8144  0.6287  0.8202
S  0.8145  0.6291  0.6797
S  0.1857  0.3715  0.3202
S  0.9079  0.8158  0.1123
S  0.0930  0.1860  0.8878
S  0.0930  0.1860  0.6122
S  0.9071  0.8143  0.3875

DOS at the Fermi energy	0.79	states/eV/atom
space-group type	Cm, No. 8
electronic total energy	-6.544	eV per atom

=====

Computed, not measured: Ce3PmS6 after structural relaxation at the PBE level of DFT.

Cell lengths 6.8573, 7.4612, 10.2728 Å; angles 90.00, 89.80, 90.00 degrees
Element x y z (fractional)
Ce  0.5391  0.9082  0.7520
Ce  0.5000  0.5000  0.0000
Ce  0.4609  0.0918  0.2480
Ce  0.0391  0.5918  0.2520
Ce  0.0000  0.0000  0.5000
Ce  0.9609  0.4082  0.7480
Pm  0.5000  0.5000  0.5000
Pm  0.0000  0.0000  0.0000
S  0.6782  0.1868  0.9188
S  0.6800  0.1868  0.5838
S  0.6590  0.4299  0.2497
S  0.3410  0.5701  0.7503
S  0.3200  0.8132  0.4162
S  0.3218  0.8132  0.0812
S  0.1782  0.3132  0.4188
S  0.1800  0.3132  0.0838
S  0.1590  0.0701  0.7497
S  0.8410  0.9299  0.2503
S  0.8200  0.6868  0.9162
S  0.8218  0.6868  0.5812

DOS at the Fermi energy	1.87	states/eV/atom
space-group type	P2_1/c, No. 14
electronic total energy	-6.665	eV per atom

=====

Computed, not measured: Ce3Pm2S8 after structural relaxation at the PBE level of DFT.

Cell lengths 4.7538, 9.7520, 8.4039 Å; angles 125.46, 90.00, 90.00 degrees
Element x y z (fractional)
Ce  0.5000  0.0000  0.0000
Ce  0.0000  0.2778  0.9999
Ce  0.0000  0.7222  0.0001
Pm  0.5000  0.2695  0.5389
Pm  0.5000  0.7305  0.4611
S  0.0000  0.6258  0.2518
S  0.0000  0.3742  0.7482
S  0.0000  0.1162  0.2324
S  0.0000  0.8838  0.7676
S  0.5000  0.6380  0.7548
S  0.5000  0.1168  0.7547
S  0.5000  0.8832  0.2453
S  0.5000  0.3620  0.2452

DOS at the Fermi energy	0.90	states/eV/atom
space-group type	Cmmm, No. 65
electronic total energy	-6.506	eV per atom

=====

Computed, not measured: CePmSc2S4 after structural relaxation at the PBE level of DFT.

Cell lengths 3.8166, 6.6282, 6.7963 Å; angles 108.91, 90.00, 90.00 degrees
Element x y z (fractional)
Ce  0.5000  0.5000  0.0000
Pm  0.0000  0.0000  0.0000
Sc  0.5000  0.0000  0.5000
Sc  0.0000  0.5000  0.5000
S  0.5000  0.2596  0.2773
S  0.5000  0.7404  0.7227
S  0.0000  0.2410  0.7228
S  0.0000  0.7590  0.2772

DOS at the Fermi energy	0.95	states/eV/atom
space-group type	P2/m, No. 10
electronic total energy	-6.923	eV per atom